First-principles (PBE) data for CsTePH after structural relaxation, as listed in Alexandria via LeMat-Bulk.

abc: 5.6860 5.6860 6.9822
angles: 122.27 122.27 48.70
Positions (direct):
Cs 0.0000 0.0000 0.0000
Te 0.4878 0.4878 0.5197
P 0.8507 0.8507 0.3457
H 0.7646 0.7646 0.4493

Results
ΔE to the lowest computed polymorph = 0.0 meV/atom
spin magnetization = 0.000 μB/atom
crystal system = monoclinic
SG = Cm, No. 8